# 1
Entry from Alexandria: a geometry-optimized Dy20In40Rh19 structure (PBE).

a = 13.5694 Å, b = 13.5694 Å, c = 9.3775 Å
α = 90.00°, β = 90.00°, γ = 90.00°
Space group P-4m2 (No. 115)
Asymmetric unit:
Dy 0.0000 0.2222 0.2629
Dy 0.0000 0.5000 0.3436
Dy 0.0000 0.5000 0.8619
Dy 0.2058 0.2989 0.7657
Dy 0.2758 0.5000 0.2677
In 0.0000 0.1144 0.7424
In 0.0000 0.3302 0.5978
In 0.1311 0.3697 0.0932
In 0.1415 0.1415 0.0000
In 0.1493 0.1493 0.5000
In 0.1689 0.5000 0.5970
In 0.3498 0.3498 0.5000
In 0.3707 0.3707 0.0000
In 0.3866 0.5000 0.7389
Rh 0.0000 0.0000 0.0000
Rh 0.0000 0.0000 0.5000
Rh 0.0000 0.2808 0.9029
Rh 0.1566 0.3421 0.3972
Rh 0.2227 0.5000 0.9052
Rh 0.5000 0.5000 0.5000

- Magnetic moment: 0.0 μB per cell
- ΔE_f: -58.7 kJ/mol of atoms

---

# 2
Entry from Alexandria: a geometry-optimized Dy5In4Rh structure (PBE).

a = 3.4935 Å, b = 3.4935 Å, c = 20.6357 Å
α = 90.00°, β = 90.00°, γ = 90.00°
Space group P4/mmm (No. 123)
Asymmetric unit:
Dy 0.0000 0.0000 0.0000
Dy 0.0000 0.0000 0.2085
Dy 0.0000 0.0000 0.4195
In 0.5000 0.5000 0.1042
In 0.5000 0.5000 0.3120
Rh 0.5000 0.5000 0.5000

- Magnetic moment: 0.1 μB per cell
- ΔE_f: -54.2 kJ/mol of atoms

---

# 3
Entry from Alexandria: a geometry-optimized DyIn2Rh3 structure (PBE).

a = 4.6573 Å, b = 4.6573 Å, c = 11.4041 Å
α = 90.00°, β = 90.00°, γ = 120.00°
Space group P-3m1 (No. 164)
Asymmetric unit:
Dy 0.3333 0.6667 0.1691
In 0.0000 0.0000 0.0000
In 0.0000 0.0000 0.5000
In 0.3333 0.6667 0.6664
Rh 0.0000 0.0000 0.2588
Rh 0.3333 0.6667 0.4227
Rh 0.3333 0.6667 0.9162

- Magnetic moment: 0.0 μB per cell
- ΔE_f: -62.5 kJ/mol of atoms

---

# 4
Entry from Alexandria: a geometry-optimized Dy6InRh structure (PBE).

a = 7.1713 Å, b = 11.3478 Å, c = 6.5780 Å
α = 90.00°, β = 113.66°, γ = 90.00°
Space group C2/m (No. 12)
Asymmetric unit:
Dy 0.2025 0.1972 0.2430
Dy 0.2319 0.0000 0.7783
In 0.0000 0.5000 0.5000
Rh 0.0000 0.0000 0.0000

- Magnetic moment: 0.0 μB per cell
- ΔE_f: -11.5 kJ/mol of atoms

---

# 5
Entry from Alexandria: a geometry-optimized Dy4InRh2 structure (PBE).

a = 8.5132 Å, b = 14.9138 Å, c = 6.8837 Å
α = 90.00°, β = 127.32°, γ = 90.00°
Space group Cc (No. 9)
Asymmetric unit:
Dy 0.0000 0.0120 0.0000
Dy 0.0308 0.4212 0.3594
Dy 0.1046 0.2124 0.6889
Dy 0.2570 0.2103 0.3075
In 0.1764 0.3825 0.9856
Rh 0.3110 0.0758 0.0252
Rh 0.3904 0.3358 0.7064

- Magnetic moment: 0.0 μB per cell
- ΔE_f: -59.3 kJ/mol of atoms

---

# 6
Entry from Alexandria: a geometry-optimized Dy7InRh2 structure (PBE).

a = 8.9096 Å, b = 13.6351 Å, c = 5.1855 Å
α = 90.00°, β = 90.00°, γ = 90.00°
Space group Cmmm (No. 65)
Asymmetric unit:
Dy 0.0000 0.0000 0.0000
Dy 0.0000 0.2140 0.5000
Dy 0.1847 0.3717 0.0000
In 0.0000 0.5000 0.5000
Rh 0.0000 0.2033 0.0000

- Magnetic moment: 0.0 μB per cell
- ΔE_f: -24.8 kJ/mol of atoms

---

# 7
Entry from Alexandria: a geometry-optimized Dy2InRh structure (PBE).

a = 3.5314 Å, b = 3.5314 Å, c = 7.5122 Å
α = 90.00°, β = 90.00°, γ = 90.00°
Space group P4/mmm (No. 123)
Asymmetric unit:
Dy 0.0000 0.0000 0.2173
In 0.5000 0.5000 0.5000
Rh 0.5000 0.5000 0.0000

- Magnetic moment: 0.0 μB per cell
- ΔE_f: -65.7 kJ/mol of atoms
- Polymorph energy (0 for the lowest one): 0.00 eV per formula unit

---

# 8
Entry from Alexandria: a geometry-optimized DyInRh2 structure (PBE).

a = 3.3892 Å, b = 3.3892 Å, c = 6.4232 Å
α = 90.00°, β = 90.00°, γ = 90.00°
Space group P4/mmm (No. 123)
Asymmetric unit:
Dy 0.0000 0.0000 0.0000
In 0.0000 0.0000 0.5000
Rh 0.5000 0.5000 0.2631

- Magnetic moment: 0.0 μB per cell
- ΔE_f: -65.5 kJ/mol of atoms

---

# 9
Entry from Alexandria: a geometry-optimized Dy6InRh2 structure (PBE).

a = 9.3815 Å, b = 9.6303 Å, c = 10.3953 Å
α = 90.00°, β = 90.00°, γ = 90.00°
Space group Immm (No. 71)
Asymmetric unit:
Dy 0.0000 0.2022 0.2375
Dy 0.1931 0.5000 0.1716
Dy 0.2113 0.3180 0.5000
In 0.0000 0.0000 0.0000
In 0.0000 0.0000 0.5000
Rh 0.0000 0.3333 0.0000
Rh 0.0000 0.5000 0.3673

- Magnetic moment: 0.0 μB per cell
- ΔE_f: -56.1 kJ/mol of atoms

---

# 10
Entry from Alexandria: a geometry-optimized Dy8In2Rh structure (PBE).

a = 17.3714 Å, b = 5.4509 Å, c = 6.9812 Å
α = 90.00°, β = 112.54°, γ = 90.00°
Space group C2/m (No. 12)
Asymmetric unit:
Dy 0.0085 0.0000 0.2660
Dy 0.1054 0.5000 0.9080
Dy 0.1405 0.5000 0.4112
Dy 0.1949 0.0000 0.7425
In 0.1828 0.0000 0.1910
Rh 0.0000 0.5000 0.5000

- Magnetic moment: 0.0 μB per cell
- ΔE_f: -31.4 kJ/mol of atoms

---

# 11
Entry from Alexandria: a geometry-optimized DyIn2Rh structure (PBE).

a = 6.9253 Å, b = 6.9253 Å, c = 6.9253 Å
α = 90.00°, β = 90.00°, γ = 90.00°
Space group Fm-3m (No. 225)
Asymmetric unit:
Dy 0.0000 0.0000 0.0000
In 0.2500 0.2500 0.2500
Rh 0.0000 0.0000 0.5000

- Magnetic moment: 0.0 μB per cell
- ΔE_f: -39.9 kJ/mol of atoms

---

# 12
Entry from Alexandria: a geometry-optimized Dy4In3Rh structure (PBE).

a = 3.5214 Å, b = 3.5214 Å, c = 16.0692 Å
α = 90.00°, β = 90.00°, γ = 90.00°
Space group P4/mmm (No. 123)
Asymmetric unit:
Dy 0.0000 0.0000 0.1022
Dy 0.0000 0.0000 0.3687
In 0.5000 0.5000 0.2380
In 0.5000 0.5000 0.5000
Rh 0.5000 0.5000 0.0000

- Magnetic moment: 0.0 μB per cell
- ΔE_f: -55.5 kJ/mol of atoms

---

Calculated DOS at the Fermi energy (states/eV/atom), listed in the same order as above: 0.498, 0.471, 0.453, 1.259, 0.816, 0.904, 0.360, 0.418, 0.824, 0.991, 0.261, 0.588